1.
Here is a relaxed structure of CsHoMo from OQMD. Energies are from PBE-GGA.

abc: 7.3916 7.3916 7.3916
angles: 90.00 90.00 90.00
Last column: nearest neighbours and their distance in Å.
Space group F-43m (No. 216)
Symmetry-distinct sites (fractional):
1 Cs 0.0000 0.0000 0.0000 [4 per cell]  4 Mo 3.20
2 Ho 0.0000 0.0000 0.5000 [4 per cell]  4 Mo 3.20
3 Mo 0.2500 0.2500 0.2500 [4 per cell]  4 Ho 3.20, 4 Cs 3.20

Uncorrected energy, eV per atom: -3.67

2.
Here is a relaxed structure of DyTmNi2C4 from OQMD. Energies are from PBE-GGA.

abc: 3.5135 3.5135 7.3977
angles: 90.00 90.00 90.00
Last column: nearest neighbours and their distance in Å.
Space group P4mm (No. 99)
Symmetry-distinct sites (fractional):
1 Dy 0.0000 0.0000 0.0000 [1 per cell]  5 C 2.40-2.49
2 Tm 0.5000 0.5000 0.6655 [1 per cell]  5 C 2.36-2.49
3 Ni 0.0000 0.5000 0.3328 [2 per cell]  4 C 2.10-2.12
4 C 0.0000 0.0000 0.4887 [1 per cell]  1 C 1.38
5 C 0.0000 0.0000 0.6756 [1 per cell]  1 C 1.38
6 C 0.5000 0.5000 0.1718 [1 per cell]  1 C 1.38
7 C 0.5000 0.5000 0.9848 [1 per cell]  1 C 1.38

Uncorrected energy, eV per atom: -7.40

3.
Here is a relaxed structure of Er5Tm2Ni2Te2 from OQMD. Energies are from PBE-GGA.

abc: 3.8225 15.4569 9.4693
angles: 90.00 90.00 90.00
Last column: nearest neighbours and their distance in Å.
Space group Imm2 (No. 44)
Symmetry-distinct sites (fractional):
1 Er 0.0000 0.0000 0.0000 [2 per cell]  3 Te 3.15-3.19
2 Er 0.0000 0.1332 0.5831 [4 per cell]  2 Ni 2.77
3 Er 0.0000 0.3535 0.7304 [4 per cell]  2 Ni 2.81, 2 Te 3.13
4 Tm 0.0000 0.3146 0.3793 [4 per cell]  2 Ni 2.76
5 Ni 0.0000 0.2375 0.0720 [4 per cell]  2 Tm 2.76, 4 Er 2.77-2.81
6 Te 0.0000 0.0000 0.3373 [2 per cell]  7 Er 3.11-3.19
7 Te 0.0000 0.5000 0.2352 [2 per cell]  6 Er 3.15-3.16, 2 Tm 3.17

Polymorph energy (0 for the lowest one), eV/atom: 0.000
Uncorrected energy, eV per atom: -5.15

4.
Here is a relaxed structure of NaAg3Te4Pt from OQMD. Energies are from PBE-GGA.

abc: 6.6045 6.6045 6.6045
angles: 90.00 90.00 90.00
Last column: nearest neighbours and their distance in Å.
Space group P-43m (No. 215)
Symmetry-distinct sites (fractional):
1 Na 0.0000 0.0000 0.0000 [1 per cell]  4 Te 3.06
2 Ag 0.0000 0.5000 0.5000 [3 per cell]  4 Te 2.80
3 Te 0.2674 0.2674 0.2674 [4 per cell]  1 Pt 2.66, 3 Ag 2.80
4 Pt 0.5000 0.5000 0.5000 [1 per cell]  4 Te 2.66

Uncorrected energy, eV per atom: -3.24

Repeat the first record exactly.
Here is a relaxed structure of CsHoMo from OQMD. Energies are from PBE-GGA.

abc: 7.3916 7.3916 7.3916
angles: 90.00 90.00 90.00
Last column: nearest neighbours and their distance in Å.
Space group F-43m (No. 216)
Symmetry-distinct sites (fractional):
1 Cs 0.0000 0.0000 0.0000 [4 per cell]  4 Mo 3.20
2 Ho 0.0000 0.0000 0.5000 [4 per cell]  4 Mo 3.20
3 Mo 0.2500 0.2500 0.2500 [4 per cell]  4 Ho 3.20, 4 Cs 3.20

Uncorrected energy, eV per atom: -3.67

Question: The highest uncorrected energy belongs to which entry?
Answer: NaAg3Te4Pt

Question: Among the records above, which one has the lowest uncorrected energy?
Answer: DyTmNi2C4